Compound: La2Sm4Te3N2
Source: Alexandria via LeMat-Bulk
Functional: PBE
Structure: optimized geometry

Output
Crystal system: tetragonal
Uncorrected energy in eV per atom: -6.23
ΔE_f (raw) in eV per atom: -1.250
ρ in g cm⁻³: 7.3

abc: 13.5859 13.5859 13.5859
angles: 159.93 159.93 28.53
With the nearest neighbours (Å) after each atom.
Fractional coordinates of all 11 atoms:
La (0.1927, 0.1927, 0.0000)  1 N 2.29
La (0.8073, 0.8073, 0.0000)  1 N 2.29
Sm (0.0808, 0.5808, 0.5000)  2 N 2.46
Sm (0.4192, 0.9192, 0.5000)  2 N 2.46
Sm (0.5808, 0.0808, 0.5000)  2 N 2.46
Sm (0.9192, 0.4192, 0.5000)  2 N 2.46
Te (0.3257, 0.3257, 0.0000)  5 La 3.38-3.50, 4 Sm 3.42
Te (0.5000, 0.5000, 0.0000)  8 Sm 3.18
Te (0.6743, 0.6743, 0.0000)  5 La 3.38-3.50, 4 Sm 3.42
N (0.1056, 0.1056, 0.0000)  1 La 2.29, 4 Sm 2.46
N (0.8944, 0.8944, 0.0000)  1 La 2.29, 4 Sm 2.46